1.
CePr4Dy3Se8 (GGA-PBE, optimized geometry); formation energy (no corrections) = -1.8100 eV/atom; Fermi-level density of states = 0.79 states/eV/atom
1.0
4.164 2.404 6.913
-4.164 2.404 6.913
0.000 -4.808 6.913
Ce Pr Dy Se
1 4 3 8
Direct
0.000 0.000 0.000 Ce
0.000 0.000 0.500 Pr
0.000 0.500 0.000 Pr
0.500 0.000 0.000 Pr
0.500 0.500 0.500 Pr
0.000 0.500 0.500 Dy
0.500 0.000 0.500 Dy
0.500 0.500 0.000 Dy
0.248 0.248 0.741 Se
0.248 0.741 0.248 Se
0.256 0.256 0.256 Se
0.259 0.752 0.752 Se
0.741 0.248 0.248 Se
0.744 0.744 0.744 Se
0.752 0.259 0.752 Se
0.752 0.752 0.259 Se

2.
ZrPaCS (GGA-PBE, optimized geometry); formation energy (no corrections) = -1.1333 eV/atom; Fermi-level density of states = 1.04 states/eV/atom
1.0
3.470 0.000 0.000
-1.735 3.005 0.000
0.000 0.000 19.777
Zr Pa C S
3 3 3 3
Direct
0.000 0.000 0.000 Zr
0.333 0.667 0.667 Zr
0.667 0.333 0.333 Zr
0.000 0.000 0.195 Pa
0.333 0.667 0.862 Pa
0.667 0.333 0.528 Pa
0.000 0.000 0.603 C
0.333 0.667 0.270 C
0.667 0.333 0.937 C
0.000 0.000 0.423 S
0.333 0.667 0.090 S
0.667 0.333 0.757 S

3.
Y2AgCl (GGA-PBE, optimized geometry); formation energy (no corrections) = -0.7645 eV/atom; energy above the most stable polymorph in this dataset = 0.00 eV/f.u.; Fermi-level density of states = 0.56 states/eV/atom
1.0
5.373 0.000 0.000
0.000 5.373 0.000
0.000 0.000 3.501
Y Ag Cl
2 1 1
Direct
0.000 0.500 0.000 Y
0.500 0.000 0.000 Y
0.000 0.000 0.500 Ag
0.500 0.500 0.000 Cl

4.
LaNdTmCd (GGA-PBE, optimized geometry); energy relative to the elements = -0.555 eV/f.u.; energy above the most stable polymorph in this dataset = 0.00 eV/f.u.; Fermi-level density of states = 1.44 states/eV/atom
1.0
3.704 0.000 0.000
0.000 3.704 0.000
0.000 0.000 8.995
La Nd Tm Cd
1 1 1 1
Direct
0.000 0.000 0.000 La
0.500 0.500 0.711 Nd
0.500 0.500 0.274 Tm
0.000 0.000 0.476 Cd

5.
GeSbTeN2 (GGA-PBE, optimized geometry); formation energy (no corrections) = 1.3109 eV/atom; energy above the most stable polymorph in this dataset = 0.28 eV/f.u.; Fermi-level density of states = 0.51 states/eV/atom
1.0
4.103 0.000 0.000
0.000 4.103 0.000
0.000 0.000 5.505
Ge Sb Te N
1 1 1 2
Direct
0.000 0.000 0.000 Ge
0.500 0.500 0.500 Sb
0.000 0.000 0.500 Te
0.000 0.500 0.000 N
0.500 0.000 0.000 N

6.
Sm3BiSeN (GGA-PBE, optimized geometry); formation energy (no corrections) = -1.3082 eV/atom; Fermi-level density of states = 0.42 states/eV/atom
1.0
8.919 0.000 0.000
0.000 4.222 0.000
-1.715 0.000 9.227
Sm Bi Se N
6 2 2 2
Direct
0.086 0.250 0.349 Sm
0.344 0.250 0.987 Sm
0.392 0.750 0.662 Sm
0.608 0.250 0.338 Sm
0.656 0.750 0.013 Sm
0.914 0.750 0.651 Sm
0.325 0.750 0.286 Bi
0.675 0.250 0.714 Bi
0.150 0.250 0.662 Se
0.850 0.750 0.338 Se
0.408 0.750 0.901 N
0.592 0.250 0.099 N

no.,E (eV/atom)
1,-5.9809
2,-8.9821
3,-5.1710
4,-3.9093
5,-4.3956
6,-6.2829